Density functional theory data (GGA-PBEsol) for crystalline BaLaAl2 at its relaxed geometry.

Cell: 3.5201 3.5201 9.3899 Å, 90.00 90.00 90.00°
Positions (direct):
La (0.5000, 0.5000, 0.8231)
Ba (0.0000, 0.0000, 0.4497)
Al (0.0000, 0.0000, 0.0434)
Al (0.5000, 0.5000, 0.1838)

Summary:
As for the space-group type: P4mm, No. 99. The calculation puts the total energy at -3.951 eV/atom. The calculation puts the formation energy at -0.032 eV per atom.